The following is a SCAN calculation of a crystal of NaSi2BiCl relaxed with PBEsol, from Alexandria via LeMat-Bulk.

Computed properties:
Its density of states at the Fermi level is 5.963 states/eV/cell. The value obtained for the uncorrected formation energy is 1273 meV/atom. The crystal system is tetragonal. The value obtained for the total energy is -104.44 eV per cell.

```
data_NaSi2BiCl
_chemical_formula_sum 'Na1 Si2 Bi1 Cl1'
_space_group_name_H-M_alt 'P 4/m m m'
_space_group_IT_number 123
_space_group_name_Hall '-P 4 2'
_cell_length_a 4.9439
_cell_length_b 4.9439
_cell_length_c 5.5505
_cell_angle_alpha 90.00
_cell_angle_beta 90.00
_cell_angle_gamma 90.00
loop_
_atom_site_label
_atom_site_type_symbol
_atom_site_fract_x
_atom_site_fract_y
_atom_site_fract_z
Na1 Na 0.0000 0.0000 0.0000
Si1 Si 0.0000 0.5000 0.0000
Bi1 Bi 0.0000 0.0000 0.5000
Cl1 Cl 0.5000 0.5000 0.5000
```



The following is a SCAN calculation of a crystal of Fe3Co4 relaxed with PBEsol, from Alexandria via LeMat-Bulk.

Computed properties:
Its density of states at the Fermi level is 8.661 states/eV/cell. The crystal system is monoclinic. The value obtained for the total energy is -248.93 eV per cell. The value obtained for the offset from the most stable computed form is 0.082 eV per atom. Its formation energy is -122.4 meV per atom.

```
data_Fe3Co4
_chemical_formula_sum 'Fe6 Co8'
_space_group_name_H-M_alt 'C 1 m 1'
_space_group_IT_number 8
_cell_length_a 8.3463
_cell_length_b 3.9291
_cell_length_c 4.6417
_cell_angle_alpha 90.00
_cell_angle_beta 95.55
_cell_angle_gamma 90.00
loop_
_space_group_symop_operation_xyz
'x,y,z'
'x,-y,z'
'x+1/2,y+1/2,z'
'x+1/2,-y+1/2,z'
loop_
_atom_site_label
_atom_site_type_symbol
_atom_site_fract_x
_atom_site_fract_y
_atom_site_fract_z
Fe1 Fe 0.0000 0.0000 0.0000
Fe2 Fe 0.0717 0.5000 0.2860
Fe3 Fe 0.3550 0.5000 0.4294
Co1 Co 0.1374 0.0000 0.5748
Co2 Co 0.2161 0.5000 0.8563
Co3 Co 0.2870 0.0000 0.1482
Co4 Co 0.4263 0.0000 0.7140
```



The following is a SCAN calculation of a crystal of LiGd2Rh relaxed with PBEsol, from Alexandria via LeMat-Bulk.

Computed properties:
Its density of states at the Fermi level is 9.152 states/eV/cell. The crystal system is cubic. The value obtained for the total energy is -622.31 eV per cell. Its formation energy is -445.9 meV per atom.

```
data_LiGd2Rh
_chemical_formula_sum 'Li4 Gd8 Rh4'
_space_group_name_H-M_alt 'F m -3 m'
_space_group_IT_number 225
_space_group_name_Hall '-F 4 2 3'
_cell_length_a 6.9380
_cell_length_b 6.9380
_cell_length_c 6.9380
_cell_angle_alpha 90.00
_cell_angle_beta 90.00
_cell_angle_gamma 90.00
loop_
_atom_site_label
_atom_site_type_symbol
_atom_site_fract_x
_atom_site_fract_y
_atom_site_fract_z
Li1 Li 0.0000 0.0000 0.0000
Gd1 Gd 0.2500 0.2500 0.2500
Rh1 Rh 0.0000 0.0000 0.5000
```



The following is a SCAN calculation of a crystal of MgNiSn3 relaxed with PBEsol, from Alexandria via LeMat-Bulk.

Computed properties:
Its density of states at the Fermi level is 1.881 states/eV/cell. The crystal system is cubic. The value obtained for the total energy is -128.13 eV per cell. Its formation energy is 156.3 meV per atom.

```
data_MgNiSn3
_chemical_formula_sum 'Mg1 Ni1 Sn3'
_space_group_name_H-M_alt 'P m -3 m'
_space_group_IT_number 221
_space_group_name_Hall '-P 4 2 3'
_cell_length_a 4.9463
_cell_length_b 4.9463
_cell_length_c 4.9463
_cell_angle_alpha 90.00
_cell_angle_beta 90.00
_cell_angle_gamma 90.00
loop_
_atom_site_label
_atom_site_type_symbol
_atom_site_fract_x
_atom_site_fract_y
_atom_site_fract_z
Mg1 Mg 0.0000 0.0000 0.0000
Ni1 Ni 0.5000 0.5000 0.5000
Sn1 Sn 0.0000 0.5000 0.5000
```



The following is a SCAN calculation of a crystal of YHfNi3 relaxed with PBEsol, from Alexandria via LeMat-Bulk.

Computed properties:
Its density of states at the Fermi level is 2.945 states/eV/cell. The crystal system is cubic. The value obtained for the total energy is -137.25 eV per cell. Its formation energy is 356.7 meV per atom.

```
data_YHfNi3
_chemical_formula_sum 'Y1 Hf1 Ni3'
_space_group_name_H-M_alt 'P m -3 m'
_space_group_IT_number 221
_space_group_name_Hall '-P 4 2 3'
_cell_length_a 4.5513
_cell_length_b 4.5513
_cell_length_c 4.5513
_cell_angle_alpha 90.00
_cell_angle_beta 90.00
_cell_angle_gamma 90.00
loop_
_atom_site_label
_atom_site_type_symbol
_atom_site_fract_x
_atom_site_fract_y
_atom_site_fract_z
Y1 Y 0.0000 0.0000 0.0000
Hf1 Hf 0.5000 0.5000 0.5000
Ni1 Ni 0.0000 0.5000 0.5000
```



The following is a SCAN calculation of a crystal of FeSiAs2 relaxed with PBEsol, from Alexandria via LeMat-Bulk.

Computed properties:
Its density of states at the Fermi level is 4.479 states/eV/cell. The value obtained for the uncorrected formation energy is 313 meV/atom. The crystal system is monoclinic. The value obtained for the total energy is -134.55 eV per cell.

```
data_FeSiAs2
_chemical_formula_sum 'Fe2 Si2 As4'
_space_group_name_H-M_alt 'C 1 2/m 1'
_space_group_IT_number 12
_cell_length_a 5.1867
_cell_length_b 6.9792
_cell_length_c 4.0810
_cell_angle_alpha 90.00
_cell_angle_beta 119.93
_cell_angle_gamma 90.00
loop_
_space_group_symop_operation_xyz
'x,y,z'
'-x,-y,-z'
'-x,y,-z'
'x,-y,z'
'x+1/2,y+1/2,z'
'-x+1/2,-y+1/2,-z'
'-x+1/2,y+1/2,-z'
'x+1/2,-y+1/2,z'
loop_
_atom_site_label
_atom_site_type_symbol
_atom_site_fract_x
_atom_site_fract_y
_atom_site_fract_z
Fe1 Fe 0.0000 0.0000 0.0000
Si1 Si 0.0000 0.5000 0.0000
As1 As 0.2500 0.2500 0.5000
```



The following is a SCAN calculation of a crystal of Li2MnP2O7 relaxed with PBEsol, from Alexandria via LeMat-Bulk.

Computed properties:
Its density of states at the Fermi level is 0.000 states/eV/cell. The value obtained for the uncorrected formation energy is -2509 meV/atom. The crystal system is monoclinic. The value obtained for the total energy is -235.11 eV per cell. The value obtained for the offset from the most stable computed form is 0.002 eV per atom.

```
data_Li2MnP2O7
_chemical_formula_sum 'Li4 Mn2 P4 O14'
_space_group_name_H-M_alt 'P 1 21 1'
_space_group_IT_number 4
_cell_length_a 5.0467
_cell_length_b 8.3743
_cell_length_c 7.1941
_cell_angle_alpha 90.00
_cell_angle_beta 110.37
_cell_angle_gamma 90.00
loop_
_space_group_symop_operation_xyz
'x,y,z'
'-x,y+1/2,-z'
loop_
_atom_site_label
_atom_site_type_symbol
_atom_site_fract_x
_atom_site_fract_y
_atom_site_fract_z
Li1 Li 0.1391 0.0000 0.4033
Li2 Li 0.3188 0.3295 0.8538
Mn1 Mn 0.3169 0.6913 0.7729
P1 P 0.1092 0.9951 0.9770
P2 P 0.2821 0.3859 0.4210
O1 O 0.0624 0.4867 0.8858
O2 O 0.1100 0.5087 0.2487
O3 O 0.1205 0.2292 0.3965
O4 O 0.2868 0.1470 0.0066
O5 O 0.2872 0.4712 0.6114
O6 O 0.2876 0.8457 0.9898
O7 O 0.4213 0.8661 0.5883
```



The following is a SCAN calculation of a crystal of CaAuCl relaxed with PBEsol, from Alexandria via LeMat-Bulk.

Computed properties:
Its density of states at the Fermi level is 0.003 states/eV/cell. The value obtained for the uncorrected formation energy is -1411 meV/atom. The crystal system is tetragonal. The value obtained for the total energy is -182.06 eV per cell. The value obtained for the offset from the most stable computed form is 0.055 eV per atom.

```
data_CaAuCl
_chemical_formula_sum 'Ca2 Au2 Cl2'
_space_group_name_H-M_alt 'I 4 m m'
_space_group_IT_number 107
_space_group_name_Hall 'I 4 -2'
_cell_length_a 3.4197
_cell_length_b 3.4197
_cell_length_c 11.7422
_cell_angle_alpha 90.00
_cell_angle_beta 90.00
_cell_angle_gamma 90.00
loop_
_atom_site_label
_atom_site_type_symbol
_atom_site_fract_x
_atom_site_fract_y
_atom_site_fract_z
Ca1 Ca 0.0000 0.0000 0.0000
Au1 Au 0.0000 0.0000 0.6532
Cl1 Cl 0.0000 0.0000 0.3727
```